Below is an optimized crystal structure of SrCI2N, with properties calculated at the GGA-PBE level.

The structure in POSCAR format:
```
SrCI2N
1.0
-2.885 -4.868 2.940
2.149 -3.985 -4.490
3.680 -0.727 2.407
I Sr C N
2 1 1 1
direct
0.000 0.500 0.000 I
0.500 0.000 0.000 I
0.000 0.000 0.000 Sr
0.500 0.500 0.500 C
0.000 0.000 0.500 N
```

## Properties
* D(E_F): 12.77 states/eV per cell
* energy above the most stable polymorph in this dataset: 110.1 kJ per mole of atoms
* size of the total moment: 0.0 μB/f.u.
* final energy: -12.6 eV for the cell shown